The following is a DFT calculation (PBE) of crystalline SrReIr at its relaxed geometry.

Computed properties:
The value obtained for the formation energy is 505 meV per atom. Its space-group type is Pnma (62). Its density of states at the Fermi level is 1.18 states/eV per atom.

Cell lengths 6.468, 4.426, 10.805 Å; angles 90.00, 90.00, 90.00 degrees
Fractional coordinates of all 12 atoms:
Re 0.038 0.250 0.876
Re 0.462 0.750 0.376
Re 0.962 0.750 0.124
Re 0.538 0.250 0.624
Ir 0.334 0.250 0.437
Ir 0.166 0.750 0.937
Ir 0.666 0.750 0.563
Ir 0.834 0.250 0.063
Sr 0.859 0.250 0.369
Sr 0.641 0.750 0.869
Sr 0.141 0.750 0.631
Sr 0.359 0.250 0.131


The following is a DFT calculation (PBE) of crystalline DyMg7Pb4 at its relaxed geometry.

Computed properties:
The value obtained for the formation energy is 102 meV per atom. Its space-group type is C2/m (12). Its density of states at the Fermi level is 0.58 states/eV per atom.

Cell lengths 5.838, 9.576, 6.853 Å; angles 83.86, 64.79, 72.25 degrees
Fractional coordinates of all 12 atoms:
Dy 0.000 0.000 0.000
Mg 0.783 0.910 0.524
Mg 0.217 0.090 0.476
Mg 0.055 0.645 0.245
Mg 0.945 0.355 0.755
Mg 0.338 0.565 0.759
Mg 0.500 0.000 0.000
Mg 0.662 0.435 0.241
Pb 0.579 0.227 0.615
Pb 0.421 0.773 0.385
Pb 0.728 0.682 0.863
Pb 0.272 0.318 0.137


The following is a DFT calculation (PBE) of crystalline NaHfS at its relaxed geometry.

Computed properties:
Its space-group type is R-3m (166). The calculation puts the total energy at -34.59 eV per cell. Its density of states at the Fermi level is 0.54 states/eV per atom.

Cell lengths 4.165, 4.165, 10.465 Å; angles 78.52, 78.52, 60.00 degrees
Fractional coordinates of all 6 atoms:
Hf 0.303 0.303 0.091
Hf 0.697 0.697 0.909
Na 0.122 0.122 0.635
Na 0.878 0.878 0.365
S 0.387 0.387 0.838
S 0.613 0.613 0.162


The following is a DFT calculation (PBE) of crystalline Y3Ho2Tl at its relaxed geometry.

Computed properties:
The value obtained for the formation energy is -112 meV per atom. Its space-group type is Cmmm (65). Its density of states at the Fermi level is 1.14 states/eV per atom.

Cell lengths 4.851, 4.883, 7.963 Å; angles 107.86, 90.00, 90.00 degrees
Fractional coordinates of all 6 atoms:
Y 0.500 0.169 0.338
Y 0.500 0.500 0.000
Y 0.500 0.831 0.662
Ho 0.000 0.663 0.326
Ho 0.000 0.337 0.674
Tl 0.000 0.000 0.000


The following is a DFT calculation (PBE) of crystalline ZnFeNi2 at its relaxed geometry.

Computed properties:
The value obtained for the formation energy is -59 meV per atom. Its space-group type is C2/m (12). Its density of states at the Fermi level is 0.90 states/eV per atom.

Cell lengths 4.343, 4.343, 4.495 Å; angles 80.63, 80.63, 34.14 degrees
Fractional coordinates of all 4 atoms:
Fe 0.250 0.250 0.250
Ni 0.999 0.999 0.007
Ni 0.501 0.501 0.493
Zn 0.750 0.750 0.750


The following is a DFT calculation (PBE) of crystalline AgTe2Ru at its relaxed geometry.

Computed properties:
Its space-group type is Pm (6). The calculation puts the total energy at -17.89 eV per cell. Its density of states at the Fermi level is 0.73 states/eV per atom.

Cell lengths 4.287, 4.213, 6.013 Å; angles 94.88, 90.00, 90.00 degrees
Fractional coordinates of all 4 atoms:
Ag 0.000 0.685 0.390
Ru 0.500 0.766 0.709
Te 0.000 0.814 0.939
Te 0.500 0.234 0.462


The following is a DFT calculation (PBE) of crystalline Cs2ZrPt at its relaxed geometry.

Computed properties:
The value obtained for the formation energy is 523 meV per atom. Its space-group type is I-42d (122). Its density of states at the Fermi level is 1.76 states/eV per atom.

Cell lengths 9.724, 9.724, 9.724 Å; angles 93.98, 93.98, 149.43 degrees
Fractional coordinates of all 8 atoms:
Cs 0.625 0.967 0.842
Cs 0.125 0.783 0.158
Cs 0.033 0.875 0.658
Cs 0.217 0.375 0.342
Zr 0.500 0.500 0.000
Zr 0.750 0.250 0.500
Pt 0.000 0.000 0.000
Pt 0.250 0.750 0.500


The following is a DFT calculation (PBE) of crystalline MgCo2Pd2 at its relaxed geometry.

Computed properties:
The value obtained for the formation energy is -14 meV per atom. Its space-group type is I4/mmm (139). Its density of states at the Fermi level is 0.71 states/eV per atom.

Cell lengths 3.299, 3.299, 7.310 Å; angles 76.96, 76.96, 90.00 degrees
Fractional coordinates of all 5 atoms:
Mg 0.000 0.000 0.000
Co 0.750 0.250 0.500
Co 0.250 0.750 0.500
Pd 0.397 0.397 0.205
Pd 0.603 0.603 0.795


The following is a DFT calculation (PBE) of crystalline Rb3PmF6 at its relaxed geometry.

Computed properties:
Its space-group type is P2_1/c (14). The calculation puts the total energy at -103.60 eV per cell. Its density of states at the Fermi level is 0.00 states/eV per atom.

Cell lengths 6.729, 6.977, 9.584 Å; angles 90.00, 89.08, 90.00 degrees
Fractional coordinates of all 20 atoms:
Rb 0.517 0.950 0.756
Rb 0.500 0.500 0.000
Rb 0.483 0.050 0.244
Rb 0.017 0.550 0.256
Rb 0.000 0.000 0.500
Rb 0.983 0.450 0.744
Pm 0.500 0.500 0.500
Pm 0.000 0.000 0.000
F 0.727 0.177 0.951
F 0.670 0.237 0.574
F 0.615 0.439 0.280
F 0.385 0.561 0.720
F 0.330 0.763 0.426
F 0.273 0.823 0.049
F 0.227 0.323 0.451
F 0.170 0.263 0.074
F 0.115 0.061 0.780
F 0.885 0.939 0.220
F 0.830 0.737 0.926
F 0.773 0.677 0.549


The following is a DFT calculation (PBE) of crystalline Te2HPbO6 at its relaxed geometry.

Computed properties:
Its space-group type is C2/c (15). The calculation puts the total energy at -105.09 eV per cell. Its density of states at the Fermi level is 0.25 states/eV per atom.

Cell lengths 6.669, 7.305, 7.305 Å; angles 105.18, 97.83, 97.83 degrees
Fractional coordinates of all 20 atoms:
Te 0.095 0.821 0.632
Te 0.405 0.368 0.179
Te 0.905 0.179 0.368
Te 0.595 0.632 0.821
H 0.250 0.190 0.810
H 0.750 0.810 0.190
Pb 0.250 0.823 0.177
Pb 0.750 0.177 0.823
O 0.086 0.096 0.715
O 0.414 0.285 0.904
O 0.914 0.904 0.285
O 0.586 0.715 0.096
O 0.325 0.849 0.507
O 0.175 0.493 0.151
O 0.675 0.151 0.493
O 0.825 0.507 0.849
O 0.771 0.851 0.802
O 0.729 0.198 0.149
O 0.229 0.149 0.198
O 0.271 0.802 0.851


The following is a DFT calculation (PBE) of crystalline Cs2K2Br2O at its relaxed geometry.

Computed properties:
Its space-group type is C2/m (12). The calculation puts the total energy at -22.17 eV per cell.

Cell lengths 4.554, 8.582, 8.620 Å; angles 56.10, 74.68, 74.61 degrees
Fractional coordinates of all 7 atoms:
Cs 0.519 0.226 0.736
Cs 0.481 0.774 0.264
K 0.174 0.770 0.883
K 0.826 0.230 0.117
Br 0.168 0.358 0.306
Br 0.832 0.642 0.694
O 0.000 0.000 0.000


The following is a DFT calculation (PBE) of crystalline Ti2Mn5BeB2 at its relaxed geometry.

Computed properties:
The value obtained for the formation energy is -368 meV per atom. Its space-group type is P4/mbm (127). Its density of states at the Fermi level is 0.76 states/eV per atom.

Cell lengths 2.937, 8.529, 8.529 Å; angles 90.00, 90.00, 90.00 degrees
Fractional coordinates of all 20 atoms:
Ti 0.000 0.669 0.169
Ti 0.000 0.331 0.831
Ti 0.000 0.169 0.331
Ti 0.000 0.831 0.669
Mn 0.500 0.205 0.067
Mn 0.500 0.795 0.933
Mn 0.500 0.067 0.795
Mn 0.500 0.705 0.433
Mn 0.500 0.933 0.205
Mn 0.500 0.295 0.567
Mn 0.500 0.567 0.705
Mn 0.500 0.433 0.295
Mn 0.500 0.500 0.000
Mn 0.500 0.000 0.500
Be 0.000 0.000 0.000
Be 0.000 0.500 0.500
B 0.000 0.128 0.628
B 0.000 0.872 0.372
B 0.000 0.628 0.872
B 0.000 0.372 0.128